Entry 1:
Computed, not measured: a crystal of Ag2Pt3 relaxed with PBEsol at the meta-GGA SCAN level of DFT.

Calculated values
Its formation energy is 0.031 eV per atom. The calculation puts the energy relative to the lowest polymorph listed for this composition at 45 meV per atom. Its spin magnetization is 0.00 μB/f.u. Its final energy is -2.00767 hartree per atom. Its space-group type is C2/m.

a b c (Å): 9.4227 2.7520 6.8628
angles (deg): 90.00 119.39 90.00
Fractional coordinates of all 10 atoms:
Ag 0.1952 0.0000 0.2948
Ag 0.3048 0.5000 0.7052
Ag 0.6952 0.5000 0.2948
Ag 0.8048 0.0000 0.7052
Pt 0.0000 0.0000 0.5000
Pt 0.1017 0.5000 0.8900
Pt 0.3983 0.0000 0.1100
Pt 0.5000 0.5000 0.5000
Pt 0.6017 0.0000 0.8900
Pt 0.8983 0.5000 0.1100



Entry 2:
Computed, not measured: a crystal of Ag7Pt5 relaxed with PBEsol at the meta-GGA SCAN level of DFT.

Calculated values
Its formation energy is 0.031 eV per atom. The calculation puts the energy relative to the lowest polymorph listed for this composition at 42 meV per atom. Its spin magnetization is 0.00 μB/f.u. Its final energy is -1.74611 hartree per atom. Its space-group type is C2/m.

a b c (Å): 6.2662 6.2662 4.9140
angles (deg): 97.26 97.26 84.54
Fractional coordinates of all 12 atoms:
Ag 0.0000 0.0000 0.0000
Ag 0.0847 0.4194 0.2484
Ag 0.3355 0.6645 0.0000
Ag 0.4194 0.0847 0.2484
Ag 0.5806 0.9153 0.7516
Ag 0.6645 0.3355 0.0000
Ag 0.9153 0.5806 0.7516
Pt 0.1627 0.8373 0.5000
Pt 0.2458 0.2458 0.7364
Pt 0.5000 0.5000 0.5000
Pt 0.7542 0.7542 0.2636
Pt 0.8373 0.1627 0.5000



Entry 3:
Computed, not measured: a crystal of AgPt7 relaxed with PBEsol at the meta-GGA SCAN level of DFT.

Calculated values
Its formation energy is 0.018 eV per atom. Its spin magnetization is 0.06 μB/f.u. Its final energy is -2.40053 hartree per atom. Its space-group type is Fm-3m.

a b c (Å): 5.5458 5.5458 5.5458
angles (deg): 60.00 60.00 60.00
Fractional coordinates of all 8 atoms:
Ag 0.0000 0.0000 0.0000
Pt 0.0000 0.0000 0.5000
Pt 0.0000 0.5000 0.0000
Pt 0.0000 0.5000 0.5000
Pt 0.5000 0.0000 0.0000
Pt 0.5000 0.0000 0.5000
Pt 0.5000 0.5000 0.0000
Pt 0.5000 0.5000 0.5000